[1]
The following is a DFT calculation (PBEsol) of a relaxed LiLa2Co crystal.

The value obtained for the calculated volume is 98.9 Å³/cell. The value obtained for the energy is -5.07 eV/atom. For the total magnetization, the calculation gives 0.00 μB per cell. For the energy relative to the elements, the calculation gives 32.8 meV/atom.

The structure belongs to space group P2/m (No. 10); the cell edges are 3.514, 3.474 and 8.146 Å and the angles 90.00°, 95.91° and 90.00°. The distinct sites, in fractional coordinates, are Li at (0.000, 0.000, 0.000), La at (0.434, 0.500, 0.696) and Co at (0.000, 0.000, 0.500).

[2]
The following is a DFT calculation (PBEsol) of a relaxed Zr2ZnCl crystal.

The value obtained for the calculated volume is 148.7 Å³/cell. The value obtained for the energy is -5.51 eV/atom. For the total magnetization, the calculation gives 0.00 μB per cell. The polymorph energy (0 for the lowest one) comes out at 1.005 eV/f.u. Its formation energy from raw total energies is -0.06 eV/atom.

The structure belongs to space group I-4m2 (No. 119); the cell edges are 3.876, 3.876 and 9.897 Å and the angles 90.00°, 90.00° and 90.00°. The distinct sites, in fractional coordinates, are Zr at (0.000, 0.000, 0.000), Zr at (0.000, 0.500, 0.250), Zn at (0.000, 0.500, 0.750) and Cl at (0.000, 0.000, 0.500).

[3]
The following is a DFT calculation (PBEsol) of a relaxed ScCoNi3 crystal.

The value obtained for the calculated volume is 74.7 Å³/cell. The value obtained for the energy is -6.07 eV/atom. For the total magnetization, the calculation gives 3.15 μB per cell. For the energy relative to the elements, the calculation gives 492.2 meV/atom.

The structure belongs to space group Pm-3m (No. 221); the cell edges are 4.212, 4.212 and 4.212 Å and the angles 90.00°, 90.00° and 90.00°. The distinct sites, in fractional coordinates, are Sc at (0.000, 0.000, 0.000), Co at (0.500, 0.500, 0.500) and Ni at (0.000, 0.500, 0.500).

[4]
The following is a DFT calculation (PBEsol) of a relaxed BRh3F crystal.

The value obtained for the calculated volume is 65.1 Å³/cell. The value obtained for the energy is -6.34 eV/atom. For the total magnetization, the calculation gives 0.88 μB per cell. The polymorph energy (0 for the lowest one) comes out at 0.000 eV/f.u. Its formation energy from raw total energies is 0.33 eV/atom.

The structure belongs to space group Pm-3m (No. 221); the cell edges are 4.024, 4.024 and 4.024 Å and the angles 90.00°, 90.00° and 90.00°. The distinct sites, in fractional coordinates, are B at (0.000, 0.000, 0.000), Rh at (0.000, 0.000, 0.500) and F at (0.500, 0.500, 0.500).